[1]
# CrCo2HgPt (PBE, relaxed)
data_CrCo2HgPt
_chemical_formula_sum 'Cr1 Co2 Hg1 Pt1'
_space_group_name_H-M_alt 'P 4/m m m'
_space_group_IT_number 123
_space_group_name_Hall '-P 4 2'
_cell_length_a 4.6559
_cell_length_b 4.6559
_cell_length_c 4.8536
_cell_angle_alpha 90.00
_cell_angle_beta 90.00
_cell_angle_gamma 90.00
loop_
_atom_site_label
_atom_site_type_symbol
_atom_site_fract_x
_atom_site_fract_y
_atom_site_fract_z
_atom_site_occupancy
Cr1 Cr 0.0000 0.0000 0.0000 1
Co1 Co 0.0000 0.5000 0.5000 1
Hg1 Hg 0.5000 0.5000 0.0000 1
Pt1 Pt 0.0000 0.0000 0.5000 1
# Fermi-level density of states ... 7.76 states/eV/cell
# Uncorrected energy ... -4.966 eV/atom
# DFT formation energy ... 1.07 eV/atom

[2]
# CrCo2HgSe (PBE, relaxed)
data_CrCo2HgSe
_chemical_formula_sum 'Cr1 Co2 Hg1 Se1'
_space_group_name_H-M_alt 'P 4/m m m'
_space_group_IT_number 123
_space_group_name_Hall '-P 4 2'
_cell_length_a 4.3608
_cell_length_b 4.3608
_cell_length_c 4.6646
_cell_angle_alpha 90.00
_cell_angle_beta 90.00
_cell_angle_gamma 90.00
loop_
_atom_site_label
_atom_site_type_symbol
_atom_site_fract_x
_atom_site_fract_y
_atom_site_fract_z
_atom_site_occupancy
Cr1 Cr 0.0000 0.0000 0.0000 1
Co1 Co 0.0000 0.5000 0.5000 1
Hg1 Hg 0.5000 0.5000 0.0000 1
Se1 Se 0.0000 0.0000 0.5000 1
# ΔE_f (raw) ... 0.603 eV per atom
# Fermi-level density of states ... 5.88 states/eV/cell
# Uncorrected energy ... -4.922 eV/atom

[3]
# TiCr2CoHg (PBE, relaxed)
data_TiCr2CoHg
_chemical_formula_sum 'Ti1 Cr2 Co1 Hg1'
_space_group_name_H-M_alt 'P 4/m m m'
_space_group_IT_number 123
_space_group_name_Hall '-P 4 2'
_cell_length_a 4.2797
_cell_length_b 4.2797
_cell_length_c 4.4607
_cell_angle_alpha 90.00
_cell_angle_beta 90.00
_cell_angle_gamma 90.00
loop_
_atom_site_label
_atom_site_type_symbol
_atom_site_fract_x
_atom_site_fract_y
_atom_site_fract_z
_atom_site_occupancy
Ti1 Ti 0.0000 0.0000 0.0000 1
Cr1 Cr 0.0000 0.5000 0.5000 1
Co1 Co 0.0000 0.0000 0.5000 1
Hg1 Hg 0.5000 0.5000 0.0000 1
# Fermi-level density of states ... 7.48 states/eV/cell
# Uncorrected energy ... -6.114 eV/atom
# DFT formation energy ... 0.80 eV/atom